(1)
DFT (PBE-GGA) results for a geometry-optimized Nd2Ga4CuPt3 structure.

total moment	0.0000	μB/atom
E_tot	-5.235	eV/atom
volume	193	Å³ per cell
density of states at the Fermi level	6.8	states/eV/cell

Cell: 4.258 4.258 10.624 Å, 90.00 90.00 90.00°
Sites, in units of the cell vectors:
Nd 0.500 0.000 0.247
Nd 0.000 0.500 0.753
Ga 0.500 0.500 0.000
Ga 0.000 0.000 0.000
Ga 0.500 0.000 0.628
Ga 0.000 0.500 0.372
Cu 0.500 0.500 0.500
Pt 0.000 0.000 0.500
Pt 0.500 0.000 0.864
Pt 0.000 0.500 0.136

(2)
DFT (PBE-GGA) results for a geometry-optimized SrLaTl structure.

total moment	0.0000	μB/atom
E_tot	-3.243	eV/atom
volume	218	Å³ per cell
density of states at the Fermi level	5.8	states/eV/cell

Cell: 9.237 6.798 3.814 Å, 106.30 90.01 71.97°
Sites, in units of the cell vectors:
Sr 0.625 0.230 0.358
Sr 0.844 0.624 0.056
Tl 0.959 0.022 0.754
Tl 0.510 0.832 0.660
La 0.257 0.681 0.084
La 0.212 0.173 0.330

(3)
DFT (PBE-GGA) results for a geometry-optimized SrYTl2 structure.

total moment	0.0000	μB/atom
E_tot	-3.616	eV/atom
volume	123	Å³ per cell
density of states at the Fermi level	2.5	states/eV/cell

Cell: 3.902 3.964 8.866 Å, 63.40 90.00 90.00°
Sites, in units of the cell vectors:
Y 0.500 0.250 0.250
Sr 0.500 0.750 0.750
Tl 0.000 0.975 0.025
Tl 0.000 0.525 0.475

no.,E_form (eV/atom)
1,-0.85
2,-0.25
3,-0.40